CeThNi2 after structural relaxation, computed with PBE-GGA.

Summary:
* total DFT energy (no corrections): -25.88 eV per formula unit
* theoretical density: 9.87 g cm⁻³
* spin magnetization: 1.326 μB per cell
* polymorph energy (0 for the lowest one): 129 meV per atom
* calculated formation energy: -0.240 eV per atom

Lattice parameters (Å, degrees): 6.9057 6.9057 6.9057 90.00 90.00 90.00
Closest atoms and distances in Å follow each position.
Positions (direct):
1 Ce 0.0000 0.0000 0.0000  8 Ni 2.99
2 Ce 0.0000 0.5000 0.5000  8 Ni 2.99
3 Ce 0.5000 0.0000 0.5000  8 Ni 2.99
4 Ce 0.5000 0.5000 0.0000  8 Ni 2.99
5 Th 0.0000 0.0000 0.5000  8 Ni 2.99
6 Th 0.0000 0.5000 0.0000  8 Ni 2.99
7 Th 0.5000 0.0000 0.0000  8 Ni 2.99
8 Th 0.5000 0.5000 0.5000  8 Ni 2.99
9 Ni 0.2500 0.2500 0.2500  4 Th 2.99, 4 Ce 2.99
10 Ni 0.2500 0.2500 0.7500  4 Th 2.99, 4 Ce 2.99
11 Ni 0.2500 0.7500 0.2500  4 Th 2.99, 4 Ce 2.99
12 Ni 0.2500 0.7500 0.7500  4 Th 2.99, 4 Ce 2.99
13 Ni 0.7500 0.2500 0.2500  4 Th 2.99, 4 Ce 2.99
14 Ni 0.7500 0.2500 0.7500  4 Th 2.99, 4 Ce 2.99
15 Ni 0.7500 0.7500 0.2500  4 Th 2.99, 4 Ce 2.99
16 Ni 0.7500 0.7500 0.7500  4 Ce 2.99, 4 Th 2.99



CeThNi after structural relaxation, computed with PBE-GGA.

Summary:
* total DFT energy (no corrections): -19.32 eV per formula unit
* theoretical density: 10.30 g cm⁻³
* spin magnetization: 0.000 μB per cell
* polymorph energy (0 for the lowest one): 71 meV per atom
* calculated formation energy: -0.063 eV per atom

Lattice parameters (Å, degrees): 4.5419 4.5419 3.8868 90.00 90.00 120.00
Closest atoms and distances in Å follow each position.
Positions (direct):
1 Ce 0.0000 0.0000 0.0000  3 Ni 2.87, 3 Th 3.01
2 Th 0.6667 0.3333 0.6216  3 Ni 2.90, 3 Ce 3.01
3 Ni 0.3333 0.6667 0.3007  3 Ce 2.87, 3 Th 2.90



Ce2ThNi6 after structural relaxation, computed with PBE-GGA.

Summary:
* total DFT energy (no corrections): -56.00 eV per formula unit
* theoretical density: 9.02 g cm⁻³
* spin magnetization: 0.000 μB per cell
* calculated formation energy: -0.224 eV per atom

Lattice parameters (Å, degrees): 7.5257 7.5257 7.5257 152.87 124.35 62.98
Closest atoms and distances in Å follow each position.
Positions (direct):
1 Ce 0.1469 0.1469 0.0000  10 Ni 2.61-2.88
2 Ce 0.8531 0.8531 0.0000  10 Ni 2.61-2.88
3 Th 0.5000 0.0000 0.5000  12 Ni 2.84-3.17
4 Ni 0.1351 0.3222 0.8129  4 Ni 2.46-2.71, 1 Ce 2.61
5 Ni 0.1826 0.5000 0.6826  3 Ni 2.46-2.57
6 Ni 0.4908 0.6778 0.8129  4 Ni 2.46-2.71, 1 Ce 2.61
7 Ni 0.5092 0.3222 0.1871  4 Ni 2.46-2.71, 1 Ce 2.61
8 Ni 0.8174 0.5000 0.3174  3 Ni 2.46-2.57
9 Ni 0.8649 0.6778 0.1871  4 Ni 2.46-2.71, 1 Ce 2.61



CeThNi after structural relaxation, computed with PBE-GGA.

Summary:
* total DFT energy (no corrections): -19.51 eV per formula unit
* theoretical density: 9.72 g cm⁻³
* spin magnetization: 0.000 μB per cell
* polymorph energy (0 for the lowest one): 9 meV per atom
* calculated formation energy: -0.125 eV per atom

Lattice parameters (Å, degrees): 10.6514 3.5487 7.8784 90.00 98.47 90.00
Closest atoms and distances in Å follow each position.
Positions (direct):
1 Ce 0.1224 0.0000 0.4402  2 Ni 2.74, 1 Ce 2.90
2 Ce 0.3776 0.5000 0.5598  2 Ni 2.74, 1 Ce 2.90
3 Ce 0.6224 0.5000 0.4402  2 Ni 2.74, 1 Ce 2.90
4 Ce 0.8776 0.0000 0.5598  2 Ni 2.74, 1 Ce 2.90
5 Th 0.1233 0.5000 0.8432  3 Ni 2.73-2.86
6 Th 0.3767 0.0000 0.1568  3 Ni 2.73-2.86
7 Th 0.6233 0.0000 0.8432  3 Ni 2.73-2.86
8 Th 0.8767 0.5000 0.1568  3 Ni 2.73-2.86
9 Ni 0.1721 0.5000 0.1934  3 Th 2.73-2.86, 2 Ce 2.74
10 Ni 0.3279 0.0000 0.8066  3 Th 2.73-2.86, 2 Ce 2.74
11 Ni 0.6721 0.0000 0.1934  3 Th 2.73-2.86, 2 Ce 2.74
12 Ni 0.8279 0.5000 0.8066  3 Th 2.73-2.86, 2 Ce 2.74



CeThNi2 after structural relaxation, computed with PBE-GGA.

Summary:
* total DFT energy (no corrections): -26.39 eV per formula unit
* theoretical density: 9.65 g cm⁻³
* spin magnetization: 0.525 μB per cell
* polymorph energy (0 for the lowest one): 0 meV per atom
* calculated formation energy: -0.369 eV per atom

Lattice parameters (Å, degrees): 3.6556 4.2504 5.7161 90.00 108.48 90.00
Closest atoms and distances in Å follow each position.
Positions (direct):
1 Ce 0.0000 0.0000 0.0000  7 Ni 2.86-3.12
2 Th 0.7270 0.5000 0.4518  7 Ni 2.88-3.05
3 Ni 0.2888 0.0000 0.5756  2 Ni 2.72, 4 Th 2.88, 2 Ce 2.94
4 Ni 0.4450 0.5000 0.8900  2 Ni 2.72, 4 Ce 2.86-2.87, 3 Th 3.00-3.05



CeTiNi after structural relaxation, computed with PBE-GGA.

Summary:
* total DFT energy (no corrections): -19.51 eV per formula unit
* theoretical density: 6.91 g cm⁻³
* spin magnetization: 0.898 μB per cell
* polymorph energy (0 for the lowest one): 43 meV per atom
* calculated formation energy: 0.034 eV per atom

Lattice parameters (Å, degrees): 6.7303 6.6035 4.5087 71.76 68.73 39.51
Closest atoms and distances in Å follow each position.
Positions (direct):
1 Ce 0.2044 0.7956 0.2044  2 Ni 2.71, 1 Ce 2.71
2 Ce 0.7956 0.2044 0.7956  2 Ni 2.71, 1 Ce 2.71
3 Ti 0.2500 0.2500 0.2500  4 Ni 2.49
4 Ti 0.7500 0.7500 0.7500  4 Ni 2.49
5 Ni 0.3408 0.3408 0.6592  4 Ti 2.49, 2 Ce 2.71
6 Ni 0.6592 0.6592 0.3408  4 Ti 2.49, 2 Ce 2.71